Entry 1:
Compound: TaMo2Pb
Source: the Alexandria database
Functional: PBE
Structure: optimized geometry

a = 5.439 Å, b = 5.439 Å, c = 5.439 Å
α = 143.47°, β = 130.08°, γ = 63.42°
Positions (direct):
Ta 0.000 0.000 0.000
Mo 0.528 0.528 0.000
Mo 0.762 0.262 0.500
Pb 0.268 0.768 0.500

Calculated values
**SG**: Imm2, No. 44
**Formation energy from the elements**: 0.366 eV/atom

=====

Entry 2:
Compound: HgBi2Pd3
Source: the Alexandria database
Functional: PBE
Structure: optimized geometry

a = 7.660 Å, b = 7.660 Å, c = 12.492 Å
α = 90.00°, β = 90.00°, γ = 135.15°
Positions (direct):
Hg 0.213 0.787 0.794
Hg 0.287 0.713 0.294
Hg 0.713 0.287 0.706
Hg 0.787 0.213 0.206
Bi 0.035 0.965 0.646
Bi 0.162 0.838 0.051
Bi 0.338 0.662 0.551
Bi 0.465 0.535 0.146
Bi 0.535 0.465 0.854
Bi 0.662 0.338 0.449
Bi 0.838 0.162 0.949
Bi 0.965 0.035 0.354
Pd 0.028 0.972 0.881
Pd 0.134 0.366 0.750
Pd 0.147 0.853 0.457
Pd 0.353 0.647 0.957
Pd 0.366 0.134 0.250
Pd 0.472 0.528 0.381
Pd 0.528 0.472 0.619
Pd 0.634 0.866 0.750
Pd 0.647 0.353 0.043
Pd 0.853 0.147 0.543
Pd 0.866 0.634 0.250
Pd 0.972 0.028 0.119

Calculated values
**SG**: Cmce, No. 64
**Formation energy from the elements**: -0.214 eV/atom
**Energy above the most stable polymorph in this dataset**: 0.14 eV per formula unit

=====

Entry 3:
Compound: NbTl2VIn
Source: the Alexandria database
Functional: PBE
Structure: optimized geometry

a = 5.401 Å, b = 5.401 Å, c = 5.352 Å
α = 90.00°, β = 90.00°, γ = 90.00°
Positions (direct):
Nb 0.000 0.000 0.000
Tl 0.000 0.500 0.000
Tl 0.500 0.000 0.000
V 0.500 0.500 0.500
In 0.000 0.000 0.500

Calculated values
**SG**: P4/mmm, No. 123
**Formation energy from the elements**: 1.396 eV/atom

=====

Entry 4:
Compound: CaDyIn
Source: the Alexandria database
Functional: PBE
Structure: optimized geometry

a = 7.422 Å, b = 7.422 Å, c = 7.422 Å
α = 151.55°, β = 151.55°, γ = 40.67°
Positions (direct):
Ca 0.000 0.000 0.000
Dy 0.292 0.292 0.000
In 0.653 0.653 0.000

Calculated values
**SG**: I4mm, No. 107
**Formation energy from the elements**: -0.263 eV/atom
**Energy above the most stable polymorph in this dataset**: 0.34 eV per formula unit

=====

Entry 5:
Compound: FeSbHOs2
Source: the Alexandria database
Functional: PBE
Structure: optimized geometry

a = 4.450 Å, b = 4.450 Å, c = 4.726 Å
α = 90.00°, β = 90.00°, γ = 90.00°
Positions (direct):
Fe 0.000 0.000 0.000
Sb 0.000 0.000 0.500
H 0.500 0.500 0.500
Os 0.000 0.500 0.000
Os 0.500 0.000 0.000

Calculated values
**SG**: P4/mmm, No. 123

=====

Entry 6:
Compound: IrAu
Source: the Alexandria database
Functional: PBE
Structure: optimized geometry

a = 4.269 Å, b = 4.269 Å, c = 4.910 Å
α = 90.00°, β = 90.00°, γ = 120.00°
Positions (direct):
Ir 0.000 0.000 0.000
Ir 0.000 0.000 0.500
Au 0.333 0.667 0.250
Au 0.667 0.333 0.750

Calculated values
**SG**: P6_3/mmc, No. 194
**Formation energy from the elements**: 0.804 eV/atom
**Energy above the most stable polymorph in this dataset**: 1.23 eV per formula unit

=====

| no. | ρ (kg/m³) | energy (eV per atom) |
| --- | --- | --- |
| 1 | 13298 | -8.94 |
| 2 | 12049 | -4.15 |
| 3 | 7100 | -3.94 |
| 4 | 5694 | -3.38 |
| 5 | 9921 | -5.66 |
| 6 | 16679 | -5.27 |